# CrTePd2N

CrTePd2N after structural relaxation (GGA-PBE, Alexandria via LeMat-Bulk).

The structure in extended XYZ format:
```
5
Lattice="-0.308 1.196 4.367 -3.758 -0.584 -0.105 0.638 -4.322 1.229" Properties=species:S:1:pos:R:3 pbc="T T T"
Te -1.714 -1.855 2.745
Pd -0.154 0.598 2.183
Pd 0.319 -2.161 0.614
N 0.000 0.000 0.000
Cr -1.879 -0.292 -0.053
```

Calculated values
Space-group type: P4/mmm
Uncorrected formation energy: 0.06 eV/atom
VASP energy: -6.24 eV per atom
D(E_F): 0.45 states/eV/atom